Record 1
CeTmIr4 | PBE | relaxed

Geometry as extended XYZ:
```
6
Lattice="-4.903 1.319 -1.736 -1.897 -2.122 -4.549 -3.969 -3.608 0.173" Properties=species:S:1:pos:R:3 pbc="T T T"
Tm -2.692 -1.103 -1.528
Ir -4.282 -3.413 -2.953
Ce 0.000 0.000 0.000
Ir -6.726 -2.755 -3.818
Ir -5.781 -1.697 -1.551
Ir -4.748 -0.957 -3.904
```

Summary:
The value obtained for the total energy is -8.435 eV per atom. Its density of states at the Fermi level is 6.00 states/eV/f.u. As for the symmetry: F-43m (216).

Record 2
Ce3TmIr2 | PBE | relaxed

Geometry as extended XYZ:
```
12
Lattice="4.099 0.000 0.000 -2.049 8.243 -0.246 0.000 -3.808 8.623" Properties=species:S:1:pos:R:3 pbc="T T T"
Ir 2.049 -0.224 1.467
Ce 2.049 2.211 3.228
Tm 2.049 2.745 8.113
Ce 2.049 4.986 5.062
Tm 0.000 1.691 0.263
Ir 0.000 4.659 6.910
Ce 0.000 -0.550 3.315
Ir 0.000 0.734 7.583
Ce 2.049 -0.596 6.320
Ir 2.049 3.701 0.793
Ce 0.000 2.224 5.149
Ce 0.000 5.032 2.057
```

Summary:
The value obtained for the total energy is -7.219 eV per atom. Its density of states at the Fermi level is 10.34 states/eV/f.u. As for the symmetry: C2/m (12).

Record 3
CeTmIr | PBE | relaxed

Geometry as extended XYZ:
```
3
Lattice="6.048 0.000 0.000 0.000 4.062 0.000 0.000 -2.031 3.517" Properties=species:S:1:pos:R:3 pbc="T T T"
Ir 6.043 0.000 0.000
Ce 1.470 0.000 2.345
Tm 4.582 2.031 1.172
```

Summary:
The value obtained for the energy relative to the lowest polymorph listed for this composition is 114 meV/atom. The value obtained for the total energy is -6.932 eV per atom. Its density of states at the Fermi level is 5.81 states/eV/f.u. As for the symmetry: P3m1 (156).

Record 4
CeTmIr | PBE | relaxed

Geometry as extended XYZ:
```
6
Lattice="-3.022 1.710 1.556 1.411 -1.270 4.136 4.262 6.909 0.668" Properties=species:S:1:pos:R:3 pbc="T T T"
Tm 0.563 3.178 2.476
Ir 2.010 5.555 2.711
Ce 4.504 6.388 2.116
Tm 3.909 3.495 3.935
Ce -0.033 0.285 4.295
Ir 2.461 1.118 3.699
```

Summary:
The value obtained for the energy relative to the lowest polymorph listed for this composition is 40 meV/atom. The value obtained for the total energy is -7.006 eV per atom. Its density of states at the Fermi level is 4.08 states/eV/f.u. As for the symmetry: P2_1/m (11).

Record 5
Ce5TmIr4 | PBE | relaxed

Geometry as extended XYZ:
```
10
Lattice="-2.237 -3.070 1.646 5.867 -4.877 -1.119 2.029 5.100 7.060" Properties=species:S:1:pos:R:3 pbc="T T T"
Ir 0.025 -0.922 3.518
Ce 2.495 -0.583 2.303
Tm -1.119 -1.535 0.823
Ce 0.244 0.247 5.997
Ir 5.634 -1.924 4.069
Ir 1.548 -1.254 -0.234
Ce 5.414 -3.093 1.590
Ce 1.815 -3.973 0.263
Ir 4.111 -1.593 7.821
Ce 3.164 -2.263 5.284
```

Summary:
The value obtained for the total energy is -7.540 eV per atom. Its density of states at the Fermi level is 23.79 states/eV/f.u. As for the symmetry: C2/m (12).

Record 6
Ce2Tm2Ir3 | PBE | relaxed

Geometry as extended XYZ:
```
14
Lattice="7.019 0.000 -2.482 -3.510 6.079 -2.482 0.000 0.000 7.445" Properties=species:S:1:pos:R:3 pbc="T T T"
Ir 2.144 0.674 4.413
Ir -1.267 5.233 -1.931
Ir 5.363 1.520 1.931
Ir 3.021 3.885 -0.550
Tm 0.436 5.323 0.309
Ce 3.942 0.750 -0.935
Ce 0.000 0.000 2.804
Ir -0.389 2.365 0.550
Tm 0.882 3.039 -2.173
Ce 4.399 3.039 -3.416
Tm -1.318 3.795 2.790
Ir 1.656 4.559 3.032
Ce 2.188 2.290 1.547
Tm 0.000 0.000 6.519
```

Summary:
The value obtained for the energy relative to the lowest polymorph listed for this composition is 0 meV/atom. The value obtained for the total energy is -7.545 eV per atom. Its density of states at the Fermi level is 9.07 states/eV/f.u. As for the symmetry: I2_13 (199).

Record 7
Ce5TmIr5 | PBE | relaxed

Geometry as extended XYZ:
```
11
Lattice="-0.059 -3.479 -4.467 -0.113 -3.242 6.115 -7.613 2.243 -1.647" Properties=species:S:1:pos:R:3 pbc="T T T"
Ir -2.630 -0.909 0.742
Ir -6.317 0.255 -0.115
Ce -6.493 -1.546 -2.300
Ce -1.292 -2.932 2.301
Ce -3.807 1.122 -0.823
Ir -1.468 -4.732 0.116
Ir -5.155 -3.569 -0.741
Tm 0.000 0.000 0.000
Ir -0.029 -1.740 -2.234
Ce -2.578 -2.718 -1.438
Ce -5.207 -1.760 1.439
```

Summary:
The value obtained for the total energy is -7.792 eV per atom. Its density of states at the Fermi level is 17.17 states/eV/f.u. As for the symmetry: C2/m (12).

Record 8
CeTm4Ir5 | PBE | relaxed

Geometry as extended XYZ:
```
10
Lattice="-1.554 1.699 -2.420 -1.935 -2.651 -0.619 -11.837 5.899 11.745" Properties=species:S:1:pos:R:3 pbc="T T T"
Ir -7.663 2.473 4.353
Tm -4.755 2.369 4.718
Ir -12.331 4.799 8.985
Ir -2.995 0.147 -0.278
Tm -2.421 1.206 2.402
Tm -7.082 3.529 7.027
Ir -5.334 1.313 2.042
Tm -9.416 4.692 9.343
Ce 0.000 0.000 0.000
Ir -9.992 3.634 6.664
```

Summary:
The value obtained for the total energy is -7.665 eV per atom. Its density of states at the Fermi level is 7.57 states/eV/f.u. As for the symmetry: P4/mmm (123).

Record 9
CeTmIr2 | PBE | relaxed

Geometry as extended XYZ:
```
4
Lattice="-3.364 2.051 -0.524 -3.509 -1.858 0.183 -2.579 1.248 6.371" Properties=species:S:1:pos:R:3 pbc="T T T"
Ir -2.364 0.364 1.529
Tm 0.000 0.000 0.000
Ir -7.088 1.077 4.501
Ce -4.726 0.720 3.015
```

Summary:
The value obtained for the total energy is -7.666 eV per atom. Its density of states at the Fermi level is 2.92 states/eV/f.u. As for the symmetry: R-3m (166).

Record 10
CeTmZnIr | PBE | relaxed

Geometry as extended XYZ:
```
4
Lattice="-2.241 4.348 -0.764 -2.864 1.962 3.529 1.506 4.026 2.456" Properties=species:S:1:pos:R:3 pbc="T T T"
Tm -0.900 2.584 1.305
Ce -2.699 7.752 3.916
Ir -1.799 5.168 2.611
Zn 0.000 0.000 0.000
```

Summary:
The value obtained for the total energy is -5.678 eV per atom. Its density of states at the Fermi level is 5.91 states/eV/f.u. As for the symmetry: F-43m (216).

Record 11
Ce2UIr | PBE | relaxed

Geometry as extended XYZ:
```
4
Lattice="-2.994 0.746 -0.293 -1.194 -3.268 3.870 0.623 3.851 3.444" Properties=species:S:1:pos:R:3 pbc="T T T"
U -1.497 0.373 -0.147
Ce -0.597 -1.634 1.935
Ir -1.782 0.665 3.511
Ce 0.311 1.926 1.722
```

Summary:
The value obtained for the energy relative to the lowest polymorph listed for this composition is 0 meV/atom. The value obtained for the total energy is -8.174 eV per atom. Its density of states at the Fermi level is 8.45 states/eV/f.u. As for the symmetry: P4/mmm (123).

Record 12
Ce2UIr | PBE | relaxed

Geometry as extended XYZ:
```
4
Lattice="2.946 0.000 0.000 1.473 2.551 0.000 1.473 0.850 10.735" Properties=species:S:1:pos:R:3 pbc="T T T"
Ir 2.946 1.701 5.367
U 0.000 0.000 0.000
Ce 1.473 0.850 7.875
Ce 4.419 2.551 2.860
```

Summary:
The value obtained for the energy relative to the lowest polymorph listed for this composition is 214 meV/atom. The value obtained for the total energy is -7.960 eV per atom. Its density of states at the Fermi level is 7.88 states/eV/f.u. As for the symmetry: R-3m (166).